# 1
## RbTlP2S (PBE)

Data for an optimized crystal structure of RbTlP2S.

```
data_RbTlP2S
_chemical_formula_sum 'Rb1 Tl1 P2 S1'
_cell_length_a 6.2786
_cell_length_b 6.2786
_cell_length_c 5.8875
_cell_angle_alpha 90.00
_cell_angle_beta 90.00
_cell_angle_gamma 90.00
_symmetry_space_group_name_H-M 'P 1'
_symmetry_Int_Tables_number 1
loop_
_symmetry_equiv_pos_as_xyz
'x,y,z'
loop_
_atom_site_label
_atom_site_fract_x
_atom_site_fract_y
_atom_site_fract_z
Tl1 0.5000 0.5000 0.5000
P1 0.5000 0.0000 0.0000
Rb1 0.0000 0.0000 0.0000
P2 0.0000 0.5000 0.0000
S1 0.0000 0.0000 0.5000
```

Space-group type = No. 123
Offset from the most stable computed form = 748 meV/atom


# 2
## RbTlP2S (PBE)

Data for an optimized crystal structure of RbTlP2S.

```
data_RbTlP2S
_chemical_formula_sum 'Rb1 Tl1 P2 S1'
_cell_length_a 5.3060
_cell_length_b 5.3060
_cell_length_c 5.4835
_cell_angle_alpha 90.00
_cell_angle_beta 90.00
_cell_angle_gamma 90.00
_symmetry_space_group_name_H-M 'P 1'
_symmetry_Int_Tables_number 1
loop_
_symmetry_equiv_pos_as_xyz
'x,y,z'
loop_
_atom_site_label
_atom_site_fract_x
_atom_site_fract_y
_atom_site_fract_z
P1 0.0000 0.5000 0.0000
P2 0.5000 0.0000 0.0000
Rb1 0.5000 0.5000 0.5000
S1 0.0000 0.0000 0.5000
Tl1 0.0000 0.0000 0.0000
```

Space-group type = No. 123
Offset from the most stable computed form = 0 meV/atom


Q: Which magnetization values were calculated for the entries above? A: 5.2, 2.4, in μB per formula unit.